Computed, not measured: a geometry-optimized Th6POs2Se3 structure at the PBE-GGA level of DFT.

The structure in extended XYZ format:
```
12
Lattice="3.6118 -6.2506 0.0000 3.6118 6.2506 0.0000 -2.3914 0.0000 7.1617" Properties=species:S:1:pos:R:3 pbc="T T T"
Th -0.0387 2.1556 5.5777
Th 1.1170 0.0000 1.5764
Th -0.0387 -2.1556 5.5777
Th 4.8708 2.1556 1.5840
Th 3.7151 0.0000 5.5853
Th 4.8708 -2.1556 1.5840
P 3.6118 0.0000 0.0000
Os 3.6118 4.1542 0.0000
Os 3.6118 -4.1542 0.0000
Se -1.1957 0.0000 3.5809
Se 2.4161 2.0069 3.5809
Se 2.4161 -2.0069 3.5809
```

Computed properties:
Formation energy (no corrections) = -1189.7 meV per atom

***

Computed, not measured: a geometry-optimized SrZr2Se structure at the PBE-GGA level of DFT.

The structure in extended XYZ format:
```
8
Lattice="-2.5145 2.5145 9.9848 2.5145 -2.5145 9.9848 2.5145 2.5145 -9.9848" Properties=species:S:1:pos:R:3 pbc="T T T"
Sr 0.0000 0.0000 0.0000
Sr 0.0000 2.5145 4.9924
Zr 1.2572 -0.1938 7.4886
Zr 2.3207 1.2572 2.4962
Zr 1.2572 2.7083 -2.4962
Zr 0.1938 1.2572 12.4810
Se 2.5145 0.0000 4.9924
Se 0.0000 0.0000 9.9848
```

Computed properties:
Formation energy (no corrections) = 27.0 meV per atom

***

Computed, not measured: a geometry-optimized LiY5In6 structure at the PBE-GGA level of DFT.

The structure in extended XYZ format:
```
12
Lattice="-2.6155 3.7528 7.8851 2.6155 -3.7528 7.8851 2.6155 3.7528 -7.8851" Properties=species:S:1:pos:R:3 pbc="T T T"
Li 0.0000 0.0000 0.0000
Y 2.6155 0.0000 2.6754
Y 0.0000 0.0000 5.3066
Y 0.0000 3.7528 0.0000
Y 0.0000 0.0000 10.4637
Y 0.0000 3.7528 5.2097
In 2.6155 -1.9527 5.3550
In 2.6155 1.7175 0.0000
In 0.0000 1.8002 2.5301
In 2.6155 1.9527 5.3550
In 0.0000 2.0354 7.8851
In 0.0000 5.7055 2.5301
```

Computed properties:
Formation energy from the elements = -0.465 eV per atom

***

Computed, not measured: a geometry-optimized YSc2Cd8 structure at the PBE-GGA level of DFT.

The structure in extended XYZ format:
```
11
Lattice="3.9940 -7.7897 0.0000 3.9940 7.7897 0.0000 -3.3538 0.0000 4.0546" Properties=species:S:1:pos:R:3 pbc="T T T"
Y 0.0000 0.0000 0.0000
Sc 2.3172 2.9070 2.0273
Sc 2.3172 -2.9070 2.0273
Cd -0.6253 2.0951 3.0213
Cd 3.9940 4.6495 0.0000
Cd -0.6253 -2.0951 3.0213
Cd 1.4174 0.0000 2.9713
Cd 3.2169 0.0000 1.0833
Cd 5.2597 2.0951 1.0333
Cd 3.9940 -4.6495 0.0000
Cd 5.2597 -2.0951 1.0333
```

Computed properties:
Formation energy from the elements = -0.190 eV per atom

***

Computed, not measured: a geometry-optimized Al2Ni2Au structure at the PBE-GGA level of DFT.

The structure in extended XYZ format:
```
5
Lattice="4.1912 0.0000 0.0000 -2.0956 3.6297 0.0000 0.0000 0.0000 4.9311" Properties=species:S:1:pos:R:3 pbc="T T T"
Al 0.0000 2.4198 1.0726
Al 2.0956 1.2099 3.8586
Ni 0.0000 2.4198 3.4157
Ni 2.0956 1.2099 1.5154
Au 0.0000 0.0000 0.0000
```

Computed properties:
Formation energy from the elements = -0.247 eV per atom

***

Computed, not measured: a geometry-optimized Ca3TaCl structure at the PBE-GGA level of DFT.

The structure in extended XYZ format:
```
5
Lattice="5.8061 0.0000 0.0000 0.0000 5.8061 0.0000 0.0000 0.0000 5.8061" Properties=species:S:1:pos:R:3 pbc="T T T"
Ca 0.0000 0.0000 2.9030
Ca 0.0000 2.9030 0.0000
Ca 2.9030 0.0000 0.0000
Ta 0.0000 0.0000 0.0000
Cl 2.9030 2.9030 2.9030
```

Computed properties:
Formation energy (no corrections) = 731.4 meV per atom

***

Computed, not measured: a geometry-optimized CsPrBe2Br8 structure at the PBE-GGA level of DFT.

The structure in extended XYZ format:
```
12
Lattice="3.3762 1.9492 10.6655 -3.3762 1.9492 10.6655 0.0000 -3.8985 10.6655" Properties=species:S:1:pos:R:3 pbc="T T T"
Cs 0.0000 0.0000 0.0000
Pr 0.0000 0.0000 15.9983
Be 0.0000 0.0000 7.8565
Be 0.0000 0.0000 24.1401
Br -2.3669 -0.1083 14.2493
Br -1.0897 -2.1040 17.7473
Br 0.0000 0.0000 9.9700
Br 1.2772 -1.9956 14.2493
Br -1.2773 1.9957 17.7473
Br 0.0000 0.0000 22.0266
Br 1.0897 2.1040 14.2493
Br 2.3669 0.1083 17.7473
```

Computed properties:
Formation energy (no corrections) = -1415.5 meV per atom

***

Computed, not measured: a geometry-optimized CuPd2Pb structure at the PBE-GGA level of DFT.

The structure in extended XYZ format:
```
4
Lattice="3.4128 0.0000 0.0000 0.0000 3.4128 0.0000 0.0000 0.0000 5.9037" Properties=species:S:1:pos:R:3 pbc="T T T"
Cu 0.0000 0.0000 0.0000
Pd 1.7064 1.7064 1.3545
Pd 1.7064 1.7064 4.5491
Pb 0.0000 0.0000 2.9518
```

Computed properties:
Formation energy from the elements = -0.100 eV per atom

***

Computed, not measured: a geometry-optimized ScHg3B structure at the PBE-GGA level of DFT.

The structure in extended XYZ format:
```
5
Lattice="5.5947 0.0000 0.0000 0.0000 5.5947 0.0000 0.0000 0.0000 5.5947" Properties=species:S:1:pos:R:3 pbc="T T T"
Sc 0.0000 0.0000 0.0000
Hg 0.0000 0.0000 2.7974
Hg 0.0000 2.7974 0.0000
Hg 2.7974 0.0000 0.0000
B 2.7974 2.7974 2.7974
```

Computed properties:
Formation energy from the elements = 1.331 eV per atom

***

Computed, not measured: a geometry-optimized BaNaZn2As2 structure at the PBE-GGA level of DFT.

The structure in extended XYZ format:
```
6
Lattice="4.6249 0.0000 0.0000 -2.3124 4.0053 0.0000 0.0000 0.0000 7.5489" Properties=species:S:1:pos:R:3 pbc="T T T"
Ba 0.0000 0.0000 0.0000
Na 0.0000 0.0000 3.7744
Zn 0.0000 2.6702 4.9759
Zn 2.3124 1.3351 2.5730
As 0.0000 2.6702 2.1780
As 2.3124 1.3351 5.3709
```

Computed properties:
Formation energy from the elements = -0.521 eV per atom

***

Computed, not measured: a geometry-optimized Ba6Pb2O structure at the PBE-GGA level of DFT.

The structure in extended XYZ format:
```
18
Lattice="8.0445 0.0000 0.0000 0.0000 8.1679 0.0000 -8.0405 0.0000 11.4711" Properties=species:S:1:pos:R:3 pbc="T T T"
Ba -2.4058 1.8116 5.2762
Ba -6.4261 2.2724 11.0117
Ba -1.7850 5.7354 5.2765
Ba -5.8053 6.5165 11.0121
Ba 0.6224 0.1175 2.7497
Ba -3.3979 3.9665 8.4852
Ba 3.4018 4.2014 2.9859
Ba -0.6184 8.0505 8.7214
Ba 5.8092 1.6514 0.4590
Ba 1.7890 2.4326 6.1946
Ba 6.4300 5.8955 0.4594
Ba 2.4098 6.3564 6.1949
Pb -4.1201 0.3261 8.5971
Pb -0.0998 3.7579 2.8616
Pb 0.1037 4.4101 8.6095
Pb 4.1240 7.8419 2.8740
O 0.0000 0.0000 0.0000
O -4.0203 4.0840 5.7355
```

Computed properties:
Formation energy (no corrections) = -870.5 meV per atom

***

Computed, not measured: a geometry-optimized CaMg12Cd6 structure at the PBE-GGA level of DFT.

The structure in extended XYZ format:
```
19
Lattice="6.4489 3.7233 3.2746 -6.4489 3.7233 3.2746 0.0000 -7.4465 3.2746" Properties=species:S:1:pos:R:3 pbc="T T T"
Ca 0.0000 0.0000 0.0000
Mg -2.4912 -4.3148 4.9119
Mg -4.9823 0.0000 4.9119
Mg -1.6244 -0.9379 3.0767
Mg 1.6244 -0.9379 3.0767
Mg 0.0000 1.8757 3.0767
Mg 2.4912 -4.3148 4.9119
Mg -2.4912 4.3148 4.9119
Mg 0.0000 -1.8757 6.7471
Mg -1.6244 0.9379 6.7471
Mg 1.6244 0.9379 6.7471
Mg 4.9823 0.0000 4.9119
Mg 2.4912 4.3148 4.9119
Cd 0.0000 -3.2354 4.1354
Cd -2.8019 1.6177 4.1354
Cd -2.8019 -1.6177 5.6885
Cd 2.8020 1.6177 4.1354
Cd 2.8020 -1.6177 5.6884
Cd 0.0000 3.2354 5.6884
```

Computed properties:
Formation energy from the elements = 0.003 eV per atom

***

Computed, not measured: a geometry-optimized Tm2Cu4Pd3 structure at the PBE-GGA level of DFT.

The structure in extended XYZ format:
```
9
Lattice="4.6065 -1.9938 0.0000 4.6065 1.9938 0.0000 -2.9546 0.0000 7.8896" Properties=species:S:1:pos:R:3 pbc="T T T"
Tm 0.8534 0.0000 1.7985
Tm 5.4049 0.0000 6.0912
Cu -1.0806 0.0000 7.0402
Cu 3.5655 0.0000 2.6844
Cu 2.6928 0.0000 5.2053
Cu 7.3389 0.0000 0.8495
Pd -0.1974 0.0000 4.4127
Pd 4.6065 0.0000 0.0000
Pd 6.4556 0.0000 3.4769
```

Computed properties:
Formation energy from the elements = -0.460 eV per atom

***

Computed, not measured: a geometry-optimized PmNdEu2 structure at the PBE-GGA level of DFT.

The structure in extended XYZ format:
```
4
Lattice="0.0000 4.2129 4.2129 4.2129 0.0000 4.2129 4.2129 4.2129 0.0000" Properties=species:S:1:pos:R:3 pbc="T T T"
Pm 0.0000 0.0000 0.0000
Nd 4.2129 4.2129 4.2129
Eu 2.1064 2.1064 2.1064
Eu 6.3193 6.3193 6.3193
```

Computed properties:
Formation energy from the elements = 0.132 eV per atom

***

Computed, not measured: a geometry-optimized Ag3Hg12I5 structure at the PBE-GGA level of DFT.

The structure in extended XYZ format:
```
80
Lattice="-8.9874 8.9874 8.9874 8.9874 -8.9874 8.9874 8.9874 8.9874 -8.9874" Properties=species:S:1:pos:R:3 pbc="T T T"
Ag 4.4937 2.2469 0.0000
Ag 8.9874 4.4937 -2.2469
Ag 2.2469 0.0000 4.4937
Ag 11.2343 0.0000 4.4937
Ag 0.0000 4.4937 2.2469
Ag 4.4937 -2.2469 8.9874
Ag 4.4937 11.2343 0.0000
Ag 8.9874 4.4937 6.7406
Ag -2.2469 8.9874 4.4937
Ag 6.7406 8.9874 4.4937
Ag 0.0000 4.4937 11.2343
Ag 4.4937 6.7406 8.9874
Hg 8.6453 -1.7966 2.7160
Hg 13.8233 -1.7777 2.6972
Hg 2.7160 -0.3422 1.7966
Hg 10.7652 6.2903 -4.8359
Hg 11.7034 0.3422 1.7966
Hg 10.7652 -2.6972 4.8359
Hg 1.7966 2.7160 -0.3422
Hg 11.6846 4.1515 -1.7777
Hg 6.2903 4.8359 -1.7777
Hg 7.1909 2.7160 0.3422
Hg 8.6453 7.1909 -2.7160
Hg 4.8359 1.7777 2.6972
Hg -0.3422 1.7966 2.7160
Hg 4.8359 -1.7777 6.2903
Hg 7.1909 -2.7160 8.6453
Hg 6.2903 -4.8359 10.7652
Hg 2.6972 4.8359 1.7777
Hg 10.7840 6.2714 0.3422
Hg 2.7160 8.6453 -1.7966
Hg 10.7652 2.6972 4.1515
Hg 1.7777 2.6972 4.8359
Hg 2.7160 0.3422 7.1909
Hg 4.8359 10.7652 -2.6972
Hg 8.6453 1.7966 6.2714
Hg 0.3422 7.1909 2.7160
Hg 4.1515 -1.7777 11.6846
Hg 6.2714 8.6453 1.7966
Hg 7.2097 6.2903 4.1515
Hg -1.7777 6.2903 4.8359
Hg 6.2714 0.3422 10.7840
Hg -1.7966 2.7160 8.6453
Hg 6.2903 4.1515 7.2097
Hg 2.6972 13.8233 -1.7777
Hg 1.7966 11.7034 0.3422
Hg 4.1515 10.7652 2.6972
Hg 9.3296 7.1909 6.2714
Hg 4.1515 7.2097 6.2903
Hg 0.3422 1.7966 11.7034
Hg 1.7966 6.2714 8.6453
Hg 2.6972 4.1515 10.7652
Hg -2.6972 4.8359 10.7652
Hg 7.1909 6.2714 9.3296
Hg -1.7777 11.6846 4.1515
Hg -2.7160 8.6453 7.1909
Hg -1.7777 2.6972 13.8233
Hg 6.2714 9.3296 7.1909
Hg -4.8359 10.7652 6.2903
Hg 0.3422 10.7840 6.2714
I 0.0000 0.0000 0.0000
I 4.4937 4.4937 -4.4937
I 4.4937 -4.4937 4.4937
I 8.9874 0.0000 0.0000
I 13.4811 2.2469 0.0000
I 8.9874 -4.4937 6.7406
I 6.7406 8.9874 -4.4937
I 6.7406 0.0000 4.4937
I 4.4937 6.7406 0.0000
I 8.9874 4.4937 2.2469
I -4.4937 4.4937 4.4937
I 0.0000 8.9874 0.0000
I 0.0000 0.0000 8.9874
I 4.4937 4.4937 4.4937
I 0.0000 4.4937 6.7406
I 4.4937 2.2469 8.9874
I 2.2469 8.9874 4.4937
I 2.2469 0.0000 13.4811
I 0.0000 13.4811 2.2469
I -4.4937 6.7406 8.9874
```

Computed properties:
Formation energy (no corrections) = -5.7 meV per atom

***

Computed, not measured: a geometry-optimized CdAgRu2 structure at the PBE-GGA level of DFT.

The structure in extended XYZ format:
```
4
Lattice="2.8475 0.0000 0.0000 0.0000 2.8475 0.0000 0.0000 0.0000 8.0995" Properties=species:S:1:pos:R:3 pbc="T T T"
Cd 0.0000 0.0000 0.0000
Ag 1.4237 1.4237 5.8397
Ru 0.0000 0.0000 3.7223
Ru 1.4237 1.4237 2.1297
```

Computed properties:
Formation energy from the elements = 0.178 eV per atom

***

Computed, not measured: a geometry-optimized TmZr4In5 structure at the PBE-GGA level of DFT.

The structure in extended XYZ format:
```
20
Lattice="7.5182 0.0000 0.0000 0.0000 8.7635 0.0000 0.0000 0.0000 7.4655" Properties=species:S:1:pos:R:3 pbc="T T T"
Tm 1.8796 2.1909 0.5032
Tm 5.6387 6.5726 6.9624
Zr 0.5335 6.5726 4.1100
Zr 1.8796 0.6096 3.7640
Zr 1.8796 3.7721 3.7640
Zr 3.2256 6.5726 4.1100
Zr 4.2926 2.1909 3.3555
Zr 5.6387 4.9914 3.7016
Zr 5.6387 8.1539 3.7016
Zr 6.9847 2.1909 3.3555
In 0.2318 4.8390 1.4311
In 0.2318 8.3062 1.4311
In 1.8796 6.5726 6.8224
In 3.5273 4.8390 1.4311
In 3.5273 8.3062 1.4311
In 3.9909 0.4572 6.0344
In 3.9909 3.9245 6.0344
In 5.6387 2.1909 0.6431
In 7.2864 0.4572 6.0344
In 7.2864 3.9245 6.0344
```

Computed properties:
Formation energy from the elements = -0.072 eV per atom

***

Computed, not measured: a geometry-optimized Li3HfU3Se8 structure at the PBE-GGA level of DFT.

The structure in extended XYZ format:
```
15
Lattice="3.9810 2.2984 6.6146 -3.9810 2.2984 6.6146 0.0000 -4.5968 6.6146" Properties=species:S:1:pos:R:3 pbc="T T T"
Li -1.9905 -1.1492 6.6146
Li -1.9905 1.1492 13.2293
Li 0.0000 2.2984 6.6146
Hf 0.0000 0.0000 9.9220
U -3.9810 0.0000 9.9220
U -1.9905 1.1492 3.3073
U 1.9905 1.1492 3.3073
Se 0.0000 0.0000 5.0547
Se 0.0000 -2.1783 8.2834
Se -1.8864 1.0891 8.2834
Se -1.8864 -1.0891 11.5605
Se 1.8864 1.0891 8.2834
Se 1.8864 -1.0891 11.5605
Se 0.0000 2.1783 11.5605
Se 0.0000 0.0000 14.7893
```

Computed properties:
Formation energy (no corrections) = -1218.2 meV per atom

***

Computed, not measured: a geometry-optimized Y2HfNbMo structure at the PBE-GGA level of DFT.

The structure in extended XYZ format:
```
5
Lattice="5.3320 0.0000 0.0000 0.0000 5.3320 0.0000 0.0000 0.0000 4.7890" Properties=species:S:1:pos:R:3 pbc="T T T"
Y 0.0000 2.6660 0.0000
Y 2.6660 0.0000 0.0000
Hf 0.0000 0.0000 2.3945
Nb 2.6660 2.6660 2.3945
Mo 2.6660 2.6660 0.0000
```

Computed properties:
Formation energy from the elements = 0.910 eV per atom